No. 1
DFT (PBEsol) results for a relaxed structure of Ti3FeS6.

Cell lengths 5.7130, 5.7130, 6.3863 Å; angles 63.43, 63.43, 60.00 degrees
With the nearest neighbours (Å) after each atom.
Atoms (fractional coordinates):
Ti 0.6700 0.6700 0.9900  6 S 2.40-2.43
S 0.4213 0.0955 0.7293  1 Fe 2.26, 3 Ti 2.40-2.43
S 0.0955 0.7539 0.7293  1 Fe 2.26, 3 Ti 2.40-2.43
S 0.2461 0.5787 0.2707  1 Fe 2.26, 3 Ti 2.40-2.43
Fe 0.5000 0.5000 0.5000  6 S 2.26
Ti 0.0000 0.0000 0.0000  6 S 2.41
S 0.9045 0.2461 0.2707  1 Fe 2.26, 3 Ti 2.40-2.43
Ti 0.3300 0.3300 0.0100  6 S 2.40-2.43
S 0.7539 0.4213 0.7293  1 Fe 2.26, 3 Ti 2.40-2.43
S 0.5787 0.9045 0.2707  1 Fe 2.26, 3 Ti 2.40-2.43

## Properties
total energy	-7.3220	eV/atom
density	4.2	g cm⁻³

No. 2
DFT (PBEsol) results for a relaxed structure of TlFe2S2.

Cell lengths 3.6281, 3.6281, 6.8201 Å; angles 105.43, 105.43, 90.00 degrees
With the nearest neighbours (Å) after each atom.
Atoms (fractional coordinates):
Tl 0.0000 0.0000 0.0000  8 S 3.26, 4 Tl 3.63, 8 Fe 3.64
Fe 0.2500 0.7500 0.5000  4 S 2.15
S 0.3413 0.3413 0.6826  4 Fe 2.15
S 0.6587 0.6587 0.3174  4 Fe 2.15
Fe 0.7500 0.2500 0.5000  4 S 2.15

## Properties
total energy	-6.3594	eV/atom
density	7.6	g cm⁻³

No. 3
DFT (PBEsol) results for a relaxed structure of TlFe2S3.

Cell lengths 5.0502, 6.7119, 6.7119 Å; angles 97.99, 90.00, 90.00 degrees
With the nearest neighbours (Å) after each atom.
Atoms (fractional coordinates):
Fe 0.5000 0.8587 0.8587  4 S 2.09-2.15
Tl 0.2500 0.6423 0.3577  10 S 3.22-3.49
Fe 0.0000 0.8587 0.8587  4 S 2.09-2.15
S 0.2500 0.6079 0.8425  2 Fe 2.09
S 0.7500 0.3921 0.1575  2 Fe 2.09
S 0.7500 0.8425 0.6079  2 Fe 2.09
Fe 0.0000 0.1413 0.1413  4 S 2.09-2.15
Tl 0.7500 0.3577 0.6423  10 S 3.22-3.49
S 0.2500 0.1194 0.8806  4 Fe 2.15
Fe 0.5000 0.1413 0.1413  4 S 2.09-2.15
S 0.7500 0.8806 0.1194  4 Fe 2.15
S 0.2500 0.1575 0.3921  2 Fe 2.09

## Properties
total energy	-6.0749	eV/atom
density	6.1	g cm⁻³

No. 4
DFT (PBEsol) results for a relaxed structure of VFe2S4.

Cell lengths 3.1871, 5.5768, 5.9113 Å; angles 114.00, 105.64, 90.00 degrees
With the nearest neighbours (Å) after each atom.
Atoms (fractional coordinates):
S 0.1031 0.4458 0.2061  3 Fe 2.19-2.24, 1 V 2.22
S 0.6345 0.9723 0.2689  3 Fe 2.18-2.32
V 0.2625 0.3165 0.5250  6 S 2.22-2.45
Fe 0.7321 0.6819 0.4642  6 S 2.19-2.39
S 0.8977 0.5724 0.7955  2 Fe 2.19-2.21, 2 V 2.26
S 0.3598 0.0087 0.7196  4 Fe 2.35-2.39, 1 V 2.40
Fe 0.0103 0.0023 0.0207  6 S 2.18-2.35

## Properties
total energy	-7.2016	eV/atom
density	5.3	g cm⁻³

No. 5
DFT (PBEsol) results for a relaxed structure of Fe3WS.

Cell lengths 4.0171, 4.0171, 4.0171 Å; angles 90.00, 90.00, 90.00 degrees
With the nearest neighbours (Å) after each atom.
Atoms (fractional coordinates):
Fe 0.5000 0.0000 0.0000  2 S 2.01
Fe 0.0000 0.0000 0.5000  2 S 2.01
S 0.0000 0.0000 0.0000  6 Fe 2.01
Fe 0.0000 0.5000 0.0000  2 S 2.01
W 0.5000 0.5000 0.5000  12 Fe 2.84

## Properties
total energy	-8.4368	eV/atom
density	9.8	g cm⁻³
energy relative to the lowest polymorph listed for this composition	0.000	eV per atom

No. 6
DFT (PBEsol) results for a relaxed structure of Fe3WS.

Cell lengths 4.4517, 4.4517, 4.4517 Å; angles 90.00, 90.00, 90.00 degrees
With the nearest neighbours (Å) after each atom.
Atoms (fractional coordinates):
S 0.5000 0.5000 0.5000  12 Fe 3.15
W 0.0000 0.0000 0.0000  6 Fe 2.23
Fe 0.5000 0.0000 0.0000  2 W 2.23
Fe 0.0000 0.0000 0.5000  2 W 2.23
Fe 0.0000 0.5000 0.0000  2 W 2.23

## Properties
total energy	-7.2068	eV/atom
density	7.2	g cm⁻³
energy relative to the lowest polymorph listed for this composition	1.230	eV per atom

No. 7
DFT (PBEsol) results for a relaxed structure of YFeS3.

Cell lengths 4.4639, 4.4639, 4.4639 Å; angles 90.00, 90.00, 90.00 degrees
With the nearest neighbours (Å) after each atom.
Atoms (fractional coordinates):
Fe 0.0000 0.0000 0.0000  6 S 2.23
S 0.0000 0.5000 0.0000  2 Fe 2.23
Y 0.5000 0.5000 0.5000  12 S 3.16
S 0.5000 0.0000 0.0000  2 Fe 2.23
S 0.0000 0.0000 0.5000  2 Fe 2.23

## Properties
total energy	-6.6255	eV/atom
density	4.5	g cm⁻³

No. 8
DFT (PBEsol) results for a relaxed structure of YFeS2.

Cell lengths 3.9251, 3.9251, 7.5930 Å; angles 75.02, 75.02, 60.00 degrees
With the nearest neighbours (Å) after each atom.
Atoms (fractional coordinates):
S 0.9004 0.9004 0.2987  1 Fe 2.16
Fe 0.0000 0.0000 0.0000  2 S 2.16
S 0.0996 0.0996 0.7013  1 Fe 2.16
Y 0.5000 0.5000 0.5000  6 S 2.70

## Properties
total energy	-7.0186	eV/atom
density	3.6	g cm⁻³

No. 9
DFT (PBEsol) results for a relaxed structure of ZnFe3S.

Cell lengths 4.3517, 4.3517, 4.3517 Å; angles 90.00, 90.00, 90.00 degrees
With the nearest neighbours (Å) after each atom.
Atoms (fractional coordinates):
Fe 0.0000 0.0000 0.5000  2 Zn 2.18
Fe 0.5000 0.0000 0.0000  2 Zn 2.18
Fe 0.0000 0.5000 0.0000  2 Zn 2.18
Zn 0.0000 0.0000 0.0000  6 Fe 2.18
S 0.5000 0.5000 0.5000  12 Fe 3.08

## Properties
total energy	-5.2490	eV/atom
density	5.3	g cm⁻³

No. 10
DFT (PBEsol) results for a relaxed structure of Zn3FeS.

Cell lengths 4.5654, 4.5654, 4.5654 Å; angles 90.00, 90.00, 90.00 degrees
With the nearest neighbours (Å) after each atom.
Atoms (fractional coordinates):
Zn 0.5000 0.0000 0.0000  2 Fe 2.28
Zn 0.0000 0.5000 0.0000  2 Fe 2.28
Fe 0.0000 0.0000 0.0000  6 Zn 2.28
Zn 0.0000 0.0000 0.5000  2 Fe 2.28
S 0.5000 0.5000 0.5000  12 Zn 3.23

## Properties
total energy	-2.8263	eV/atom
density	5.0	g cm⁻³

No. 11
DFT (PBEsol) results for a relaxed structure of ZrZnFeS2.

Cell lengths 4.2616, 4.2616, 4.7544 Å; angles 90.00, 90.00, 90.00 degrees
With the nearest neighbours (Å) after each atom.
Atoms (fractional coordinates):
Fe 0.0000 0.0000 0.0000  4 S 2.13, 2 Zr 2.38
Zr 0.0000 0.0000 0.5000  2 Fe 2.38
S 0.0000 0.5000 0.0000  2 Fe 2.13
Zn 0.5000 0.5000 0.5000  4 Zr 3.01, 8 S 3.19
S 0.5000 0.0000 0.0000  2 Fe 2.13

## Properties
total energy	-5.6065	eV/atom
density	5.3	g cm⁻³

No. 12
DFT (PBEsol) results for a relaxed structure of ZrFeS3.

Cell lengths 4.8834, 4.8834, 4.8834 Å; angles 90.00, 90.00, 90.00 degrees
With the nearest neighbours (Å) after each atom.
Atoms (fractional coordinates):
S 0.0000 0.5000 0.0000  2 Zr 2.44
Zr 0.0000 0.0000 0.0000  6 S 2.44
S 0.0000 0.0000 0.5000  2 Zr 2.44
S 0.5000 0.0000 0.0000  2 Zr 2.44
Fe 0.5000 0.5000 0.5000  12 S 3.45

## Properties
total energy	-6.2520	eV/atom
density	3.5	g cm⁻³

No. 13
DFT (PBEsol) results for a relaxed structure of Zr6FeS2.

Cell lengths 3.3889, 12.5931, 15.3885 Å; angles 90.00, 90.00, 90.00 degrees
With the nearest neighbours (Å) after each atom.
Atoms (fractional coordinates):
Zr 0.5000 0.4751 0.6060  2 S 2.76-2.85, 1 Fe 2.99
S 0.5000 0.3131 0.3487  7 Zr 2.61-2.76
Zr 0.0000 0.0249 0.1060  2 S 2.76-2.85, 1 Fe 2.99
Fe 0.5000 0.7615 0.4111  6 Zr 2.55-2.61
Zr 0.5000 0.1696 0.9844  2 Fe 2.61, 2 S 2.70
S 0.5000 0.6869 0.6513  7 Zr 2.61-2.76
Zr 0.5000 0.5879 0.9199  2 Fe 2.55, 1 S 2.81
Zr 0.0000 0.4152 0.2505  4 S 2.61
Zr 0.5000 0.8785 0.5871  3 S 2.61-2.66
Zr 0.0000 0.3022 0.7051  2 Fe 2.59, 3 S 2.64-2.69
Zr 0.0000 0.0879 0.5801  2 Fe 2.55, 1 S 2.81
Zr 0.5000 0.8022 0.7949  2 Fe 2.59, 3 S 2.64-2.69
Zr 0.5000 0.0848 0.7505  4 S 2.61
S 0.0000 0.0661 0.2879  8 Zr 2.61-2.85
Fe 0.5000 0.2385 0.5889  6 Zr 2.55-2.61
Zr 0.0000 0.6978 0.2949  2 Fe 2.59, 3 S 2.64-2.69
Zr 0.5000 0.8304 0.0156  2 Fe 2.61, 2 S 2.70
Zr 0.5000 0.5249 0.3940  2 S 2.76-2.85, 1 Fe 2.99
S 0.5000 0.5661 0.2121  8 Zr 2.61-2.85
Zr 0.0000 0.5848 0.7495  4 S 2.61
Zr 0.5000 0.1978 0.2051  2 Fe 2.59, 3 S 2.64-2.69
Fe 0.0000 0.7385 0.9111  6 Zr 2.55-2.61
Zr 0.5000 0.4121 0.0801  2 Fe 2.55, 1 S 2.81
Zr 0.0000 0.6215 0.0871  3 S 2.61-2.66
Zr 0.0000 0.3304 0.4844  2 Fe 2.61, 2 S 2.70
S 0.0000 0.8131 0.1513  7 Zr 2.61-2.76
Zr 0.0000 0.3785 0.9129  3 S 2.61-2.66
Zr 0.5000 0.1215 0.4129  3 S 2.61-2.66
S 0.5000 0.4339 0.7879  8 Zr 2.61-2.85
Zr 0.0000 0.9121 0.4199  2 Fe 2.55, 1 S 2.81
Zr 0.5000 0.9152 0.2495  4 S 2.61
Zr 0.0000 0.9751 0.8940  2 S 2.76-2.85, 1 Fe 2.99
S 0.0000 0.9339 0.7121  8 Zr 2.61-2.85
S 0.0000 0.1869 0.8487  7 Zr 2.61-2.76
Fe 0.0000 0.2615 0.0889  6 Zr 2.55-2.61
Zr 0.0000 0.6696 0.5155  2 Fe 2.61, 2 S 2.70

## Properties
total energy	-8.9158	eV/atom
density	6.7	g cm⁻³

No. 14
DFT (PBEsol) results for a relaxed structure of Fe3Sb.

Cell lengths 4.2664, 5.3890, 5.3890 Å; angles 120.00, 90.00, 90.00 degrees
With the nearest neighbours (Å) after each atom.
Atoms (fractional coordinates):
Fe 0.2500 0.1525 0.8475  6 Fe 2.47-2.56, 4 Sb 2.70-2.72
Fe 0.7500 0.8475 0.6950  6 Fe 2.47-2.56, 4 Sb 2.70-2.72
Fe 0.7500 0.3050 0.1525  6 Fe 2.47-2.56, 4 Sb 2.70-2.72
Sb 0.2500 0.6667 0.3333  12 Fe 2.70-2.72
Sb 0.7500 0.3333 0.6667  12 Fe 2.70-2.72
Fe 0.2500 0.6950 0.8475  6 Fe 2.47-2.56, 4 Sb 2.70-2.72
Fe 0.2500 0.1525 0.3050  6 Fe 2.47-2.56, 4 Sb 2.70-2.72
Fe 0.7500 0.8475 0.1525  6 Fe 2.47-2.56, 4 Sb 2.70-2.72

## Properties
total energy	-7.7658	eV/atom
density	9.0	g cm⁻³

No. 15
DFT (PBEsol) results for a relaxed structure of FeSb2.

Cell lengths 3.1146, 5.7715, 6.4227 Å; angles 90.00, 90.00, 90.00 degrees
With the nearest neighbours (Å) after each atom.
Atoms (fractional coordinates):
Sb 0.0000 0.1913 0.6469  3 Fe 2.52-2.55
Sb 0.5000 0.6913 0.8531  3 Fe 2.52-2.55
Sb 0.0000 0.8087 0.3531  3 Fe 2.52-2.55
Sb 0.5000 0.3087 0.1469  3 Fe 2.52-2.55
Fe 0.5000 0.5000 0.5000  6 Sb 2.52-2.55
Fe 0.0000 0.0000 0.0000  6 Sb 2.52-2.55

## Properties
total energy	-6.1206	eV/atom
density	8.6	g cm⁻³

No. 16
DFT (PBEsol) results for a relaxed structure of Fe3Sb.

Cell lengths 3.1685, 3.1689, 5.3871 Å; angles 90.00, 90.00, 90.00 degrees
With the nearest neighbours (Å) after each atom.
Atoms (fractional coordinates):
Fe 0.0000 0.0000 0.5000  8 Fe 2.56, 2 Sb 2.69
Sb 0.0000 0.0000 0.0000  10 Fe 2.68-2.69
Fe 0.5000 0.5000 0.7287  5 Fe 2.46-2.56, 4 Sb 2.68
Fe 0.5000 0.5000 0.2713  5 Fe 2.46-2.56, 4 Sb 2.68

## Properties
total energy	-7.6481	eV/atom
density	8.9	g cm⁻³

No. 17
DFT (PBEsol) results for a relaxed structure of FeSb2.

Cell lengths 4.3600, 4.3600, 4.3600 Å; angles 60.00, 60.00, 60.00 degrees
With the nearest neighbours (Å) after each atom.
Atoms (fractional coordinates):
Fe 0.0000 0.0000 0.0000  8 Sb 2.67
Sb 0.7500 0.7500 0.7500  4 Fe 2.67
Sb 0.2500 0.2500 0.2500  4 Fe 2.67

## Properties
total energy	-5.9408	eV/atom
density	8.5	g cm⁻³

No. 18
DFT (PBEsol) results for a relaxed structure of ScFeSb2.

Cell lengths 4.3687, 4.3687, 9.7156 Å; angles 102.99, 102.99, 90.00 degrees
With the nearest neighbours (Å) after each atom.
Atoms (fractional coordinates):
Sb 0.1250 0.0982 0.7500  2 Fe 2.73, 2 Sc 2.82, 2 Sb 2.93
Sc 0.5000 0.5000 0.0000  4 Sb 2.82, 4 Fe 3.09
Fe 0.0000 0.0000 0.0000  4 Sb 2.73
Sc 0.7500 0.2500 0.5000  4 Sb 2.82, 4 Fe 3.09
Sb 0.6250 0.6518 0.7500  2 Fe 2.73, 2 Sc 2.82, 2 Sb 2.93
Fe 0.2500 0.7500 0.5000  4 Sb 2.73
Sb 0.3482 0.8750 0.2500  2 Fe 2.73, 2 Sc 2.82, 2 Sb 2.93
Sb 0.9018 0.3750 0.2500  2 Fe 2.73, 2 Sc 2.82, 2 Sb 2.93

## Properties
total energy	-6.0469	eV/atom
density	6.5	g cm⁻³
energy relative to the lowest polymorph listed for this composition	0.275	eV per atom

No. 19
DFT (PBEsol) results for a relaxed structure of ScFe2Sb.

Cell lengths 3.1562, 4.2262, 4.2262 Å; angles 90.00, 90.00, 90.00 degrees
With the nearest neighbours (Å) after each atom.
Atoms (fractional coordinates):
Sb 0.5000 0.5000 0.5000  8 Fe 2.64
Sc 0.5000 0.0000 0.0000  8 Fe 2.64
Fe 0.0000 0.5000 0.0000  4 Sb 2.64, 4 Sc 2.64
Fe 0.0000 0.0000 0.5000  4 Sb 2.64, 4 Sc 2.64

## Properties
total energy	-7.4681	eV/atom
density	8.2	g cm⁻³

No. 20
DFT (PBEsol) results for a relaxed structure of ScFeSb2.

Cell lengths 3.7145, 4.5741, 4.5741 Å; angles 90.00, 90.00, 90.00 degrees
With the nearest neighbours (Å) after each atom.
Atoms (fractional coordinates):
Sc 0.5000 0.5000 0.5000  8 Sb 2.95, 4 Fe 3.23
Sb 0.0000 0.0000 0.5000  4 Fe 2.95, 4 Sc 2.95, 4 Sb 3.23
Sb 0.0000 0.5000 0.0000  4 Sc 2.95, 4 Fe 2.95, 4 Sb 3.23
Fe 0.5000 0.0000 0.0000  8 Sb 2.95, 4 Sc 3.23

## Properties
total energy	-6.3218	eV/atom
density	7.4	g cm⁻³
energy relative to the lowest polymorph listed for this composition	0.000	eV per atom